14
Lattice="-2.6481 5.2764 7.8542 2.6481 -5.2764 7.8542 2.6481 5.2764 -7.8542" Properties=species:S:1:pos:R:3 comment="K3Hg8Pb3, optimized geometry, DFT GGA-PBE" dos_ef_per_ev_cell=6.9 magmom_total_mub_per_atom=0.00 e_tot_ev_per_atom=-1.38 rho_g_cm3=8.87 sg="Immm, No. 71" pbc="T T T"
K 0.0000 0.0000 0.0000
K 0.0000 0.0000 4.5746
K 0.0000 0.0000 11.1338
Hg 2.6481 -1.4789 2.5413
Hg 2.6481 -2.2668 5.5694
Hg 2.6481 1.4789 2.5413
Hg 0.0000 3.0096 2.2848
Hg 2.6481 2.2668 5.5694
Hg 0.0000 3.7975 5.3129
Hg 0.0000 7.5432 2.2848
Hg 0.0000 6.7553 5.3129
Pb 2.6481 3.2700 0.0000
Pb 0.0000 5.2764 0.0000
Pb 0.0000 2.0064 7.8542

***

5
Lattice="5.8995 0.0000 0.0000 0.0000 5.8995 0.0000 0.0000 0.0000 5.8526" Properties=species:S:1:pos:R:3 comment="NaZrTl2Pb, optimized geometry, DFT GGA-PBE" dos_ef_per_ev_cell=3.3 magmom_total_mub_per_atom=0.23 e_tot_ev_per_atom=-2.94 rho_g_cm3=5.95 sg="P4/mmm, No. 123" pbc="T T T"
Na 0.0000 0.0000 0.0000
Zr 0.0000 0.0000 2.9263
Tl 0.0000 2.9497 2.9263
Tl 2.9497 0.0000 2.9263
Pb 2.9497 2.9497 0.0000

***

16
Lattice="7.6149 0.0000 0.0000 0.0000 7.6149 0.0000 0.0000 0.0000 5.4677" Properties=species:S:1:pos:R:3 comment="ScFe2I, optimized geometry, DFT GGA-PBE" dos_ef_per_ev_cell=16.7 magmom_total_mub_per_atom=1.41 e_form_raw_ev_per_fu=2.52 rho_g_cm3=5.94 sg="I-42d, No. 122" pbc="T T T"
Sc 0.0000 0.0000 0.0000
Sc 0.0000 3.8075 1.3669
Sc 3.8075 0.0000 4.1007
Sc 3.8075 3.8075 2.7338
Fe 1.7723 1.9037 3.4173
Fe 1.9037 5.5798 4.7842
Fe 1.9037 5.8426 2.0504
Fe 2.0351 1.9037 0.6835
Fe 5.5798 5.7112 0.6835
Fe 5.7112 1.7723 2.0504
Fe 5.7112 2.0351 4.7842
Fe 5.8426 5.7112 3.4173
I 0.0000 0.0000 2.7338
I 0.0000 3.8075 4.1007
I 3.8075 0.0000 1.3669
I 3.8075 3.8075 0.0000

***

4
Lattice="3.1833 0.0000 0.0000 0.0000 3.1833 0.0000 0.0000 0.0000 8.6161" Properties=species:S:1:pos:R:3 comment="Dy2TmO, optimized geometry, DFT GGA-PBE" dos_ef_per_ev_cell=5.0 magmom_total_mub_per_atom=0.00 e_form_raw_ev_per_fu=-3.34 rho_g_cm3=9.70 sg="P4/mmm, No. 123" pbc="T T T"
Dy 0.0000 0.0000 1.5255
Dy 0.0000 0.0000 7.0905
Tm 1.5917 1.5917 4.3080
O 1.5917 1.5917 0.0000

***

4
Lattice="2.5772 0.0000 0.0000 0.0000 3.1606 0.0000 0.0000 0.0000 7.9617" Properties=species:S:1:pos:R:3 comment="KBe2Tc, optimized geometry, DFT GGA-PBE" dos_ef_per_ev_cell=2.5 magmom_total_mub_per_atom=0.00 e_tot_ev_per_atom=-4.08 rho_g_cm3=3.97 sg="Pmm2, No. 25" pbc="T T T"
K 0.0000 0.0000 0.0000
Be 0.0000 0.0000 4.3133
Be 1.2886 1.5803 5.2249
Tc 1.2886 1.5803 2.9113

***

4
Lattice="4.1700 0.0000 0.0000 -2.0850 3.6113 0.0000 0.0000 0.0000 6.9286" Properties=species:S:1:pos:R:3 comment="SnP, optimized geometry, DFT GGA-PBE" dos_ef_per_ev_cell=0.7 magmom_total_mub_per_atom=0.00 e_tot_ev_per_atom=-4.69 rho_g_cm3=4.76 sg="P-3m1, No. 164" pbc="T T T"
Sn 0.0000 2.4076 1.1715
Sn 2.0850 1.2038 5.7570
P 0.0000 0.0000 2.3710
P 0.0000 0.0000 4.5575

***

What did the fourth record say?
4
Lattice="3.1833 0.0000 0.0000 0.0000 3.1833 0.0000 0.0000 0.0000 8.6161" Properties=species:S:1:pos:R:3 comment="Dy2TmO, optimized geometry, DFT GGA-PBE" dos_ef_per_ev_cell=5.0 magmom_total_mub_per_atom=0.00 e_form_raw_ev_per_fu=-3.34 rho_g_cm3=9.70 sg="P4/mmm, No. 123" pbc="T T T"
Dy 0.0000 0.0000 1.5255
Dy 0.0000 0.0000 7.0905
Tm 1.5917 1.5917 4.3080
O 1.5917 1.5917 0.0000